PBE+U NiBiNO2, relaxed; SG = P4/mmm, No. 123; DFT total energy = -4.28 eV/atom; M_tot = 2.26 μB per formula unit
1.0
4.1721 0.0000 0.0000
0.0000 4.1721 0.0000
0.0000 0.0000 4.3331
Ni Bi N O
1 1 1 2
Cartesian
0.0000 0.0000 0.0000
2.0860 2.0860 2.1665
2.0860 2.0860 0.0000
0.0000 2.0860 2.1665
2.0860 0.0000 2.1665